(1)
VASP calculation (PBE) on crystalline Pm2SmScTl2 at its relaxed geometry.

Calculated values
space-group type: Pmc2_1, No. 26
ΔH_f (0 K): -0.26 eV per atom

Cell lengths 5.0205, 7.0328, 9.9704 Å; angles 90.00, 90.00, 90.00 degrees
With the nearest neighbours (Å) after each atom.
Fractional coordinates of all 12 atoms:
Pm1 0.5000 0.5559 0.9494  5 Tl 3.26-3.59, 2 Pm 3.48
Pm2 0.0000 0.3411 0.1854  4 Tl 3.20-3.32, 2 Pm 3.48
Pm3 0.0000 0.8411 0.8146  4 Tl 3.20-3.32, 2 Pm 3.48
Pm4 0.5000 0.0559 0.0506  5 Tl 3.26-3.59, 2 Pm 3.48
Sc1 0.5000 0.1646 0.6913  4 Tl 3.10-3.12
Sc2 0.5000 0.6646 0.3087  4 Tl 3.10-3.12
Tl1 0.0000 0.2922 0.8542  2 Sc 3.12, 4 Pm 3.20-3.32, 1 Sm 3.27
Tl2 0.5000 0.2336 0.3840  2 Sc 3.10-3.12, 4 Sm 3.24-3.39, 2 Pm 3.29
Tl3 0.0000 0.7922 0.1458  2 Sc 3.12, 4 Pm 3.20-3.32, 1 Sm 3.27
Tl4 0.5000 0.7336 0.6160  2 Sc 3.10-3.12, 4 Sm 3.24-3.39, 2 Pm 3.29
Sm1 0.0000 0.4583 0.5479  5 Tl 3.24-3.39, 2 Sc 3.55
Sm2 0.0000 0.9583 0.4521  5 Tl 3.24-3.39, 2 Sc 3.55

(2)
VASP calculation (PBE) on crystalline LaZrNi2 at its relaxed geometry.

Calculated values
space-group type: Pm, No. 6
ΔH_f (0 K): -0.29 eV per atom

Cell lengths 4.2902, 3.5252, 5.5074 Å; angles 71.16, 90.00, 90.00 degrees
With the nearest neighbours (Å) after each atom.
Fractional coordinates of all 4 atoms:
Ni1 0.0000 0.1931 0.9897  2 Ni 2.66, 2 Zr 2.70, 4 La 2.89
Ni2 0.5000 0.0406 0.2931  2 Ni 2.66, 4 Zr 2.81-2.82, 3 La 2.83-2.97
La1 0.5000 0.7698 0.8353  7 Ni 2.83-2.97
Zr1 0.0000 0.4965 0.3819  6 Ni 2.70-2.82